(1)
The following is a DFT calculation (GGA-PBE) of a relaxed ZnIn3B crystal.

a b c (Å): 5.164 5.164 5.164
angles (deg): 90.00 90.00 90.00
Atoms (fractional coordinates):
Zn1 0.000 0.000 0.000
In1 0.000 0.000 0.500
In2 0.000 0.500 0.000
In3 0.500 0.000 0.000
B1 0.500 0.500 0.500

Summary:
- DFT formation energy (kJ/mol of atoms) = 111.3
- total DFT energy (no corrections) (eV per atom) = -2.080
- polymorph energy (0 for the lowest one) (eV per atom) = 0.5933
- calculated density (g/cm³) = 5.1
- space group = Pm-3m (221)

(2)
The following is a DFT calculation (GGA-PBE) of a relaxed Zn2InB crystal.

a b c (Å): 7.208 7.208 7.208
angles (deg): 138.07 138.07 60.80
Atoms (fractional coordinates):
Zn1 0.375 0.192 0.317
Zn2 0.808 0.125 0.183
Zn3 0.875 0.058 0.683
Zn4 0.942 0.625 0.817
In1 0.250 0.750 0.500
In2 0.500 0.500 0.000
B1 0.000 0.000 0.000
B2 0.750 0.250 0.500

Summary:
- DFT formation energy (kJ/mol of atoms) = 54.1
- total DFT energy (no corrections) (eV per atom) = -2.430
- polymorph energy (0 for the lowest one) (eV per atom) = 0.0000
- calculated density (g/cm³) = 5.1
- space group = I-42d (122)

(3)
The following is a DFT calculation (GGA-PBE) of a relaxed Zr2InB crystal.

a b c (Å): 5.929 5.929 5.929
angles (deg): 106.03 106.03 116.60
Atoms (fractional coordinates):
Zr1 0.063 0.625 0.938
Zr2 0.375 0.313 0.438
Zr3 0.687 0.125 0.062
Zr4 0.875 0.937 0.562
In1 0.250 0.750 0.500
In2 0.500 0.500 0.000
B1 0.000 0.000 0.000
B2 0.750 0.250 0.500

Summary:
- DFT formation energy (kJ/mol of atoms) = 6.0
- total DFT energy (no corrections) (eV per atom) = -6.566
- polymorph energy (0 for the lowest one) (eV per atom) = 0.5065
- calculated density (g/cm³) = 6.5
- space group = I-42d (122)

(4)
The following is a DFT calculation (GGA-PBE) of a relaxed Zr2InB crystal.

a b c (Å): 4.718 4.718 4.718
angles (deg): 60.00 60.00 60.00
Atoms (fractional coordinates):
Zr1 0.250 0.250 0.250
Zr2 0.750 0.750 0.750
In1 0.000 0.000 0.000
B1 0.500 0.500 0.500

Summary:
- DFT formation energy (kJ/mol of atoms) = 34.9
- total DFT energy (no corrections) (eV per atom) = -6.266
- polymorph energy (0 for the lowest one) (eV per atom) = 0.8060
- calculated density (g/cm³) = 6.9
- space group = Fm-3m (225)